Density functional theory data (GGA-PBE) for an optimized crystal structure of Fe2SbBr.

Cell and atoms, written as CIF:
```
data_Fe2SbBr
_space_group_name_H-M_alt 'F m -3 m'
_space_group_IT_number 225
_space_group_name_Hall '-F 4 2 3'
_cell_length_a 6.4379
_cell_length_b 6.4379
_cell_length_c 6.4379
_cell_angle_alpha 90.00
_cell_angle_beta 90.00
_cell_angle_gamma 90.00
loop_
_atom_site_label
_atom_site_type_symbol
_atom_site_fract_x
_atom_site_fract_y
_atom_site_fract_z
Fe1 Fe 0.2500 0.2500 0.2500
Sb1 Sb 0.0000 0.0000 0.0000
Br1 Br 0.0000 0.0000 0.5000
```

Values from the calculation:
Total energy in eV per atom: -5.0047
Fermi-level density of states in states/eV/cell: 19.28
Distance to the lowest polymorph of the same formula in meV/atom: 609.1

***

Density functional theory data (GGA-PBE) for an optimized crystal structure of CuRhS2.

Cell and atoms, written as CIF:
```
data_CuRhS2
_space_group_name_H-M_alt 'P 1 c 1'
_space_group_IT_number 7
_cell_length_a 3.5739
_cell_length_b 6.6768
_cell_length_c 6.4982
_cell_angle_alpha 90.00
_cell_angle_beta 120.27
_cell_angle_gamma 90.00
loop_
_space_group_symop_operation_xyz
'x,y,z'
'x,-y,z+1/2'
loop_
_atom_site_label
_atom_site_type_symbol
_atom_site_fract_x
_atom_site_fract_y
_atom_site_fract_z
Cu1 Cu 0.0000 0.1386 0.0000
Rh1 Rh 0.8781 0.3180 0.5954
S1 S 0.2000 0.1402 0.3930
S2 S 0.6142 0.4136 0.8367
```

Values from the calculation:
Total energy in eV per atom: -5.2291
Fermi-level density of states in states/eV/cell: 0.11

***

Sequential magnetization output: 14.72 0.00 μB per cell